# Li3MnF6 PBE with a Hubbard U relaxed
data_Li3MnF6
_symmetry_space_group_name_H-M 'P 1'
_symmetry_Int_Tables_number 1
_cell_length_a 5.2655
_cell_length_b 5.2655
_cell_length_c 9.8824
_cell_angle_alpha 96.34
_cell_angle_beta 96.34
_cell_angle_gamma 122.17
loop_
_symmetry_equiv_pos_as_xyz
'x,y,z'
loop_
_atom_site_label
_atom_site_type_symbol
_atom_site_fract_x
_atom_site_fract_y
_atom_site_fract_z
Li1 Li 0.0539 0.9461 0.5000
Li2 Li 0.3227 0.5374 0.3245
Li3 Li 0.4686 0.6812 0.6772
Li4 Li 0.5374 0.3227 0.8245
Li5 Li 0.6812 0.4686 0.1772
Li6 Li 0.9461 0.0539 0.0000
Mn1 Mn 0.2704 0.7338 0.0012
Mn2 Mn 0.7338 0.2704 0.5012
F1 F 0.0061 0.2243 0.3914
F2 F 0.0806 0.6293 0.6071
F3 F 0.2243 0.0061 0.8914
F4 F 0.3101 0.4671 0.1255
F5 F 0.3747 0.9244 0.3947
F6 F 0.4671 0.3101 0.6255
F7 F 0.5402 0.6922 0.8746
F8 F 0.6293 0.0806 0.1071
F9 F 0.6922 0.5402 0.3746
F10 F 0.7826 0.9938 0.6108
F11 F 0.9244 0.3747 0.8947
F12 F 0.9938 0.7826 0.1108
# E_tot: -5.198 eV per atom
# M_tot: 8.00 μB per cell